# 1
# DyPaTiO6

DyPaTiO6 after structural relaxation (PBE-GGA, the Alexandria database).

Properties
Energy relative to the elements, uncorrected in eV/atom: -3.355

```
data_DyPaTiO6
_chemical_formula_sum 'Dy2 Pa2 Ti2 O12'
_cell_length_a 5.438
_cell_length_b 5.438
_cell_length_c 9.450
_cell_angle_alpha 90.00
_cell_angle_beta 90.00
_cell_angle_gamma 120.00
_space_group_name_H-M_alt 'P 1'
_space_group_IT_number 1
_space_group_name_Hall 'P 1'
loop_
_atom_site_label
_atom_site_fract_x
_atom_site_fract_y
_atom_site_fract_z
O1 0.314 0.961 0.632
O2 0.961 0.314 0.132
O3 0.039 0.686 0.868
O4 0.353 0.039 0.132
O5 0.961 0.647 0.368
O6 0.314 0.353 0.868
O7 0.039 0.353 0.632
O8 0.353 0.314 0.368
O9 0.647 0.686 0.632
O10 0.647 0.961 0.868
O11 0.686 0.039 0.368
O12 0.686 0.647 0.132
Pa1 0.000 0.000 0.500
Pa2 0.000 0.000 0.000
Ti1 0.333 0.667 0.750
Ti2 0.667 0.333 0.250
Dy1 0.667 0.333 0.750
Dy2 0.333 0.667 0.250
```

=====

# 2
# DyPaTi2O8

DyPaTi2O8 after structural relaxation (PBE-GGA, the Alexandria database).

Properties
Energy relative to the elements, uncorrected in eV/atom: -3.348

```
data_DyPaTi2O8
_chemical_formula_sum 'Dy1 Pa1 Ti2 O8'
_cell_length_a 5.158
_cell_length_b 5.158
_cell_length_c 6.603
_cell_angle_alpha 112.99
_cell_angle_beta 112.99
_cell_angle_gamma 90.00
_space_group_name_H-M_alt 'P 1'
_space_group_IT_number 1
_space_group_name_Hall 'P 1'
loop_
_atom_site_label
_atom_site_fract_x
_atom_site_fract_y
_atom_site_fract_z
Ti1 0.250 0.750 0.500
Ti2 0.500 0.500 0.000
Pa1 0.750 0.250 0.500
O1 0.757 0.845 0.176
O2 0.669 0.243 0.824
O3 0.594 0.657 0.666
O4 0.343 0.928 0.334
O5 0.155 0.580 0.824
O6 0.420 0.331 0.176
O7 0.991 0.406 0.334
O8 0.072 0.009 0.666
Dy1 0.000 0.000 0.000
```

=====

# 3
# DyPaTl2O8

DyPaTl2O8 after structural relaxation (PBE-GGA, the Alexandria database).

Properties
Energy relative to the elements, uncorrected in eV/atom: -1.795

```
data_DyPaTl2O8
_chemical_formula_sum 'Dy1 Pa1 Tl2 O8'
_cell_length_a 6.244
_cell_length_b 6.244
_cell_length_c 6.244
_cell_angle_alpha 111.50
_cell_angle_beta 111.50
_cell_angle_gamma 105.49
_space_group_name_H-M_alt 'P 1'
_space_group_IT_number 1
_space_group_name_Hall 'P 1'
loop_
_atom_site_label
_atom_site_fract_x
_atom_site_fract_y
_atom_site_fract_z
Pa1 0.000 0.000 0.000
O1 0.717 0.027 0.689
O2 0.553 0.729 0.824
O3 0.338 0.027 0.311
O4 0.973 0.283 0.311
O5 0.973 0.662 0.689
O6 0.271 0.094 0.824
O7 0.271 0.447 0.176
O8 0.906 0.729 0.176
Tl1 0.750 0.250 0.500
Tl2 0.500 0.500 0.000
Dy1 0.250 0.750 0.500
```

=====

# 4
# DyUPaO6

DyUPaO6 after structural relaxation (PBE-GGA, the Alexandria database).

Properties
Energy relative to the elements, uncorrected in eV/atom: -3.356

```
data_DyUPaO6
_chemical_formula_sum 'Dy2 U2 Pa2 O12'
_cell_length_a 5.779
_cell_length_b 5.779
_cell_length_c 9.488
_cell_angle_alpha 90.00
_cell_angle_beta 90.00
_cell_angle_gamma 120.00
_space_group_name_H-M_alt 'P 1'
_space_group_IT_number 1
_space_group_name_Hall 'P 1'
loop_
_atom_site_label
_atom_site_fract_x
_atom_site_fract_y
_atom_site_fract_z
O1 0.679 0.010 0.371
O2 0.990 0.668 0.371
O3 0.321 0.990 0.629
O4 0.668 0.679 0.629
O5 0.010 0.332 0.629
O6 0.668 0.990 0.871
O7 0.990 0.321 0.129
O8 0.679 0.668 0.129
O9 0.332 0.321 0.371
O10 0.332 0.010 0.129
O11 0.010 0.679 0.871
O12 0.321 0.332 0.871
Pa1 0.000 0.000 0.000
Pa2 0.000 0.000 0.500
Dy1 0.333 0.667 0.250
Dy2 0.667 0.333 0.750
U1 0.333 0.667 0.750
U2 0.667 0.333 0.250
```

=====

- What is the energy relative to the elements, uncorrected in the second record?
  -3.348 eV/atom

=====

- Look up the energy relative to the elements, uncorrected of the fourth one.
  -3.356 eV/atom